a | # KRuSCl2

A geometry-optimized KRuSCl2 structure (PBE-GGA, Alexandria).

Output
volume = 117.2 Å³ per cell
DOS(E_F) = 0.72 states/eV per atom
magnetization = 0.00 μB per formula unit

abc: 5.157 5.157 4.407
angles: 90.00 90.00 90.00
Space group P4/mmm (No. 123)
Inequivalent atoms, fractional coordinates:
K 0.000 0.000 0.000 x1
Ru 0.500 0.500 0.500 x1
S 0.500 0.500 0.000 x1
Cl 0.000 0.500 0.500 x2

b | # KRuSCl2

A geometry-optimized KRuSCl2 structure (PBE-GGA, Alexandria).

Output
volume = 167.8 Å³ per cell
DOS(E_F) = 2.47 states/eV per atom
magnetization = 3.14 μB per formula unit

abc: 5.464 5.464 5.623
angles: 90.00 90.00 90.00
Space group P4/mmm (No. 123)
Inequivalent atoms, fractional coordinates:
K 0.000 0.000 0.000 x1
Ru 0.500 0.500 0.500 x1
S 0.000 0.000 0.500 x1
Cl 0.000 0.500 0.000 x2

Most favorable structure: a. The second most favorable one is 1700 meV per atom above it.

a | # KSCl4

A geometry-optimized KSCl4 structure (PBE-GGA, Alexandria).

Output
volume = 457.3 Å³ per cell
DOS(E_F) = 0.10 states/eV per atom
magnetization = 0.00 μB per formula unit

abc: 5.827 9.669 8.188
angles: 90.00 97.60 90.00
Space group P2_1/m (No. 11)
Inequivalent atoms, fractional coordinates:
K 0.102 0.250 0.177 x2
S 0.270 0.750 0.355 x2
Cl 0.096 0.576 0.136 x4
Cl 0.365 0.750 0.642 x2
Cl 0.409 0.250 0.705 x2

b | # KSCl4

A geometry-optimized KSCl4 structure (PBE-GGA, Alexandria).

Output
volume = 438.8 Å³ per cell
magnetization = 0.99 μB per formula unit

abc: 7.567 7.567 7.662
angles: 90.00 90.00 90.00
Space group I-4m2 (No. 119)
Inequivalent atoms, fractional coordinates:
K 0.000 0.000 0.000 x2
S 0.000 0.500 0.250 x2
Cl 0.214 0.286 0.250 x8

Most favorable structure: b. The second most favorable one is 73 meV per atom above it.

a | # KSCl2

A geometry-optimized KSCl2 structure (PBE-GGA, Alexandria).

Output
volume = 490.3 Å³ per cell
DOS(E_F) = 0.00 states/eV per atom
magnetization = 3.00 μB per formula unit

abc: 4.6889 4.6889 25.7485
angles: 90.00 90.00 120.00
Space group R-3m (No. 166, hexagonal axes)
Inequivalent atoms, fractional coordinates:
K 0.0000 0.0000 0.0000 x3
S 0.0000 0.0000 0.5000 x3
Cl 0.0000 0.0000 0.1096 x6

b | # KSCl2

A geometry-optimized KSCl2 structure (PBE-GGA, Alexandria).

Output
volume = 477.1 Å³ per cell
DOS(E_F) = 1.97 states/eV per atom
magnetization = 1.00 μB per formula unit

abc: 5.0085 5.0085 21.9594
angles: 90.00 90.00 120.00
Space group R-3m (No. 166, hexagonal axes)
Inequivalent atoms, fractional coordinates:
K 0.0000 0.0000 0.0000 x3
S 0.0000 0.0000 0.5000 x3
Cl 0.0000 0.0000 0.3953 x6

Most favorable structure: b. The second most favorable one is 616 meV per atom above it.

a | # KS2Cl

A geometry-optimized KS2Cl structure (PBE-GGA, Alexandria).

Output
volume = 538.7 Å³ per cell
DOS(E_F) = 0.00 states/eV per atom
magnetization = 0.00 μB per formula unit

abc: 6.453 6.453 12.937
angles: 90.00 90.00 90.00
Space group I-42d (No. 122)
Inequivalent atoms, fractional coordinates:
K 0.000 0.000 0.000 x4
S 0.081 0.250 0.625 x8
Cl 0.000 0.000 0.500 x4

b | # KS2Cl

A geometry-optimized KS2Cl structure (PBE-GGA, Alexandria).

Output
volume = 319.9 Å³ per cell
DOS(E_F) = 0.58 states/eV per atom
magnetization = 0.00 μB per formula unit

abc: 4.7422 4.7422 16.4260
angles: 90.00 90.00 120.00
Space group R-3m (No. 166, hexagonal axes)
Inequivalent atoms, fractional coordinates:
K 0.0000 0.0000 0.0000 x3
S 0.0000 0.0000 0.1806 x6
Cl 0.0000 0.0000 0.5000 x3

c | # KS2Cl

A geometry-optimized KS2Cl structure (PBE-GGA, Alexandria).

Output
volume = 359.0 Å³ per cell
DOS(E_F) = 0.61 states/eV per atom
magnetization = 0.00 μB per formula unit

abc: 3.9727 3.9727 26.2632
angles: 90.00 90.00 120.00
Space group R-3m (No. 166, hexagonal axes)
Inequivalent atoms, fractional coordinates:
K 0.0000 0.0000 0.0000 x3
S 0.0000 0.0000 0.4159 x6
Cl 0.0000 0.0000 0.5000 x3

Most favorable structure: b. The second most favorable one is 130 meV per atom above it.